A relaxed KBaSeF2 crystal, computed with PBEsol.

Computed properties:
Space group = P4/mmm, No. 123
M_tot = 0.00 μB/f.u.
E_tot = -20.6 eV per cell

Cell lengths 4.793, 4.793, 5.377 Å; angles 90.00, 90.00, 90.00 degrees
Sites, in units of the cell vectors:
K 0.000 0.000 0.000
Ba 0.500 0.500 0.500
Se 0.000 0.000 0.500
F 0.000 0.500 0.000
F 0.500 0.000 0.000